[1]
Density functional theory data (PBE) for a geometry-optimized MnTcOs2 structure.

As for the energy above the most stable polymorph in this dataset: 26 meV per atom. The calculation puts the density of states at the Fermi level at 4.5 states/eV/cell. Its energy of formation from the pure elements is 0.09 eV/atom.

It has space group Pmm2 (No. 25), with a = 2.709 Å, b = 3.794 Å, c = 5.375 Å, α = 90.00°, β = 90.00° and γ = 90.00°. The inequivalent atoms are Mn at (0.000, 0.000, 0.000), Tc at (0.500, 0.500, 0.755), Os at (0.000, 0.000, 0.496) and Os at (0.500, 0.500, 0.237).

=====

[2]
Density functional theory data (PBE) for a geometry-optimized Er2ZnGa4Ni3 structure.

The calculation puts the density of states at the Fermi level at 5.5 states/eV/cell. Its energy of formation from the pure elements is -0.54 eV/atom.

It has space group P-4m2 (No. 115), with a = 4.003 Å, b = 4.003 Å, c = 10.388 Å, α = 90.00°, β = 90.00° and γ = 90.00°. The inequivalent atoms are Er at (0.000, 0.500, 0.239), Zn at (0.000, 0.000, 0.500), Ga at (0.000, 0.000, 0.000), Ga at (0.000, 0.500, 0.642), Ga at (0.500, 0.500, 0.000), Ni at (0.000, 0.500, 0.867) and Ni at (0.500, 0.500, 0.500).

=====

[3]
Density functional theory data (PBE) for a geometry-optimized CuPRhS2 structure.

As for the energy above the most stable polymorph in this dataset: 206 meV per atom. The calculation puts the density of states at the Fermi level at 5.5 states/eV/cell. For the uncorrected formation energy, the calculation gives 4.71 eV/f.u.

It has space group P4/mmm (No. 123), with a = 4.474 Å, b = 4.474 Å, c = 4.370 Å, α = 90.00°, β = 90.00° and γ = 90.00°. The inequivalent atoms are Cu at (0.000, 0.000, 0.000), P at (0.000, 0.000, 0.500), Rh at (0.500, 0.500, 0.500) and S at (0.000, 0.500, 0.000).

=====

[4]
Density functional theory data (PBE) for a geometry-optimized SrMoPt structure.

As for the energy above the most stable polymorph in this dataset: 243 meV per atom. The calculation puts the density of states at the Fermi level at 9.5 states/eV/cell. Its energy of formation from the pure elements is 0.11 eV/atom.

It has space group Cm (No. 8), with a = 10.995 Å, b = 4.278 Å, c = 7.700 Å, α = 90.00°, β = 124.28° and γ = 90.00°. The inequivalent atoms are Sr at (0.000, 0.000, 0.000), Sr at (0.245, 0.000, 0.529), Mo at (0.127, 0.500, 0.786), Mo at (0.276, 0.500, 0.145), Pt at (0.427, 0.000, 0.301) and Pt at (0.489, 0.500, 0.585).

=====

[5]
Density functional theory data (PBE) for a geometry-optimized Li3Ta structure.

As for the energy above the most stable polymorph in this dataset: 10 meV per atom. The calculation puts the density of states at the Fermi level at 5.2 states/eV/cell. Its energy of formation from the pure elements is 0.22 eV/atom.

It has space group Cmmm (No. 65), with a = 3.079 Å, b = 4.502 Å, c = 10.324 Å, α = 90.00°, β = 90.00° and γ = 90.00°. The inequivalent atoms are Li at (0.000, 0.000, 0.000), Li at (0.000, 0.500, 0.253) and Ta at (0.000, 0.000, 0.500).

=====

[6]
Density functional theory data (PBE) for a geometry-optimized NaZrFeCu2 structure.

The calculation puts the density of states at the Fermi level at 8.0 states/eV/cell. Its energy of formation from the pure elements is 1.72 eV/atom.

It has space group P4/mmm (No. 123), with a = 4.229 Å, b = 4.229 Å, c = 5.090 Å, α = 90.00°, β = 90.00° and γ = 90.00°. The inequivalent atoms are Na at (0.000, 0.000, 0.000), Zr at (0.000, 0.000, 0.500), Fe at (0.500, 0.500, 0.500) and Cu at (0.000, 0.500, 0.000).

=====

[7]
Density functional theory data (PBE) for a geometry-optimized La8Ag4Ir3Rh structure.

The calculation puts the density of states at the Fermi level at 19.1 states/eV/cell. Its energy of formation from the pure elements is -0.52 eV/atom.

It has space group R-3m (No. 166, hexagonal axes), with a = 8.4992 Å, b = 8.4992 Å, c = 22.4121 Å, α = 90.00°, β = 90.00° and γ = 120.00°. The inequivalent atoms are La at (0.0000, 0.0000, 0.2358), La at (0.0012, 0.5006, 0.7642), Ag at (0.0000, 0.0000, 0.0000), Ag at (0.0000, 0.5000, 0.0000), Ir at (0.0000, 0.5000, 0.5000) and Rh at (0.0000, 0.0000, 0.5000).

=====

[8]
Density functional theory data (PBE) for a geometry-optimized LiNbBr4 structure.

As for the energy above the most stable polymorph in this dataset: 191 meV per atom. For the uncorrected formation energy, the calculation gives -5.24 eV/f.u.

It has space group P222 (No. 16), with a = 6.761 Å, b = 6.763 Å, c = 10.914 Å, α = 90.00°, β = 90.00° and γ = 90.00°. The inequivalent atoms are Li at (0.000, 0.000, 0.000), Li at (0.000, 0.500, 0.500), Nb at (0.000, 0.000, 0.500), Nb at (0.500, 0.000, 0.000), Br at (0.207, 0.246, 0.381) and Br at (0.256, 0.211, 0.883).

=====

Please write out number 3 again, unchanged.
Density functional theory data (PBE) for a geometry-optimized CuPRhS2 structure.

As for the energy above the most stable polymorph in this dataset: 206 meV per atom. The calculation puts the density of states at the Fermi level at 5.5 states/eV/cell. For the uncorrected formation energy, the calculation gives 4.71 eV/f.u.

It has space group P4/mmm (No. 123), with a = 4.474 Å, b = 4.474 Å, c = 4.370 Å, α = 90.00°, β = 90.00° and γ = 90.00°. The inequivalent atoms are Cu at (0.000, 0.000, 0.000), P at (0.000, 0.000, 0.500), Rh at (0.500, 0.500, 0.500) and S at (0.000, 0.500, 0.000).

=====

Question: What is the formula in the fourth record?
Answer: SrMoPt